1.
This record from the Open Quantum Materials Database describes a geometry-optimized SmAlNO structure. The functional is PBE-GGA.

abc: 3.4354 5.3416 5.8738
angles: 90.00 90.00 90.00
With the nearest neighbours (Å) after each atom.
Element x y z (fractional)
Al 0.5000 0.4998 0.7942  2 O 1.80-1.81, 2 N 1.87
Al 0.5000 0.9998 0.2058  2 O 1.80, 2 N 1.87
N 0.0000 0.9933 0.3305  2 Al 1.87
N 0.0000 0.4933 0.6695  2 Al 1.87
O 0.5000 0.2588 0.0096  2 Al 1.80-1.81
Sm 0.0000 0.5020 0.2855  1 N 2.26
O 0.5000 0.7588 0.9904  2 Al 1.80
Sm 0.0000 0.0020 0.7145  1 N 2.26

Results
**Calculated volume**: 108 Å³/cell
**Magnetization**: 0.0 μB/f.u.
**Total energy**: -7.351 eV per atom
**Density**: 6.4 Mg/m³
**SG**: Pmc2_1 (26)

=====

2.
This record from the Open Quantum Materials Database describes a geometry-optimized LiIrSO structure. The functional is PBE-GGA.

abc: 6.0002 6.1897 5.6750
angles: 90.00 112.58 90.00
With the nearest neighbours (Å) after each atom.
Element x y z (fractional)
Li 0.7252 0.2954 0.9464  2 O 1.91-2.05
O 0.4995 0.3306 0.1395  2 Li 1.91-2.05
Li 0.7252 0.2046 0.4464  2 O 1.91-2.05
O 0.5005 0.6694 0.8605  2 Li 1.91-2.05
S 0.0985 0.4436 0.2989  3 Ir 2.32-2.36, 1 Li 2.53
S 0.0985 0.0564 0.7989  3 Ir 2.32-2.36, 1 Li 2.53
O 0.5005 0.8306 0.3605  2 Li 1.91-2.05
Li 0.2748 0.7954 0.5536  2 O 1.91-2.05
S 0.9015 0.9436 0.2011  3 Ir 2.32-2.36, 1 Li 2.53
O 0.4995 0.1694 0.6395  2 Li 1.91-2.05
Ir 0.7369 0.8831 0.7638  3 O 2.16-2.21, 3 S 2.32-2.36
Li 0.2748 0.7046 0.0536  2 O 1.91-2.05
Ir 0.2631 0.3831 0.7362  3 O 2.16-2.21, 3 S 2.32-2.36
S 0.9015 0.5564 0.7011  3 Ir 2.32-2.36, 1 Li 2.53
Ir 0.2631 0.1169 0.2362  3 O 2.16-2.21, 3 S 2.32-2.36
Ir 0.7369 0.6169 0.2638  3 O 2.16-2.21, 3 S 2.32-2.36

Results
**Calculated volume**: 195 Å³/cell
**Magnetization**: 0.0 μB/f.u.
**Total energy**: -5.684 eV per atom
**Density**: 8.4 Mg/m³
**SG**: P2_1/c (14)

=====

3.
This record from the Open Quantum Materials Database describes a geometry-optimized Li4DyPaO6 structure. The functional is PBE-GGA.

abc: 5.6368 5.6368 5.2909
angles: 99.90 99.90 120.13
With the nearest neighbours (Å) after each atom.
Element x y z (fractional)
O 0.0876 0.4261 0.7564  1 Pa 2.20, 1 Dy 2.24, 4 Li 2.25-2.44
O 0.7624 0.7568 0.7482  4 Li 2.08-2.29, 1 Pa 2.23, 1 Dy 2.26
O 0.9149 0.5851 0.2358  1 Pa 2.18, 3 Li 2.21-2.33, 1 Dy 2.24
O 0.4149 0.0851 0.7642  1 Pa 2.18, 3 Li 2.21-2.33, 1 Dy 2.24
O 0.5739 0.9124 0.2436  1 Pa 2.20, 1 Dy 2.24, 4 Li 2.25-2.44
Li 0.6429 0.3571 0.5000  4 O 2.10-2.31
Pa 0.1680 0.8320 0.0000  6 O 2.18-2.23
Li 0.3663 0.6337 0.5000  4 O 2.08-2.26
O 0.2432 0.2376 0.2518  4 Li 2.08-2.29, 1 Pa 2.23, 1 Dy 2.26
Dy 0.8327 0.1673 0.0000  6 O 2.24-2.26
Li 0.9917 0.0083 0.5000  6 O 2.19-2.33
Li 0.5015 0.4985 0.0000  6 O 2.21-2.29

Results
**Calculated volume**: 136 Å³/cell
**Magnetization**: 0.0 μB/f.u.
**Total energy**: -6.803 eV per atom
**Density**: 6.3 Mg/m³
**SG**: C2 (5)

=====

4.
This record from the Open Quantum Materials Database describes a geometry-optimized SbPdAu2 structure. The functional is PBE-GGA.

abc: 4.7400 4.7400 4.7400
angles: 60.00 60.00 60.00
With the nearest neighbours (Å) after each atom.
Element x y z (fractional)
Pd 0.2500 0.2500 0.2500  4 Au 2.90, 4 Sb 2.90
Au 0.0000 0.0000 0.0000  4 Pd 2.90, 4 Au 2.90
Sb 0.5000 0.5000 0.5000  4 Pd 2.90, 4 Au 2.90
Au 0.7500 0.7500 0.7500  4 Sb 2.90, 4 Au 2.90

Results
**Calculated volume**: 75 Å³/cell
**Total energy**: -4.067 eV per atom
**Density**: 13.7 Mg/m³
**SG**: F-43m (216)

=====

Among the records above, which one has the highest calculated volume? LiIrSO

=====

Among the records above, which one has the lowest calculated volume? SbPdAu2

=====

Which value of total energy does entry 3 give? -6.803 eV per atom